[1]
This record from the Open Quantum Materials Database describes an optimized crystal structure of DyThPa. The functional is GGA-PBE.

The space group is F-43m (No. 216) and the conventional cell measures 7.418, 7.418 and 7.418 Å, with angles of 90.00, 90.00 and 90.00 degrees. Symmetry generates all atoms from Dy at (0.000, 0.000, 0.000), Th at (0.000, 0.000, 0.500) and Pa at (0.250, 0.250, 0.250).

For the total DFT energy (no corrections), the calculation gives -73.93 eV for the cell shown. The calculation puts the total magnetization at 2.08 Bohr magnetons per cell.

---

[2]
This record from the Open Quantum Materials Database describes an optimized crystal structure of DyTmPa. The functional is GGA-PBE.

The space group is F-43m (No. 216) and the conventional cell measures 7.425, 7.425 and 7.425 Å, with angles of 90.00, 90.00 and 90.00 degrees. Symmetry generates all atoms from Dy at (0.000, 0.000, 0.000), Tm at (0.250, 0.250, 0.250) and Pa at (0.000, 0.000, 0.500).

For the total DFT energy (no corrections), the calculation gives -61.38 eV for the cell shown. The calculation puts the total magnetization at 11.16 Bohr magnetons per cell.

---

[3]
This record from the Open Quantum Materials Database describes an optimized crystal structure of DyYPa. The functional is GGA-PBE.

The space group is F-43m (No. 216) and the conventional cell measures 7.439, 7.439 and 7.439 Å, with angles of 90.00, 90.00 and 90.00 degrees. Symmetry generates all atoms from Dy at (0.000, 0.000, 0.000), Y at (0.250, 0.250, 0.250) and Pa at (0.250, 0.250, 0.750).

For the total DFT energy (no corrections), the calculation gives -69.10 eV for the cell shown. The calculation puts the total magnetization at 10.94 Bohr magnetons per cell.

---

[4]
This record from the Open Quantum Materials Database describes an optimized crystal structure of DyZrPa. The functional is GGA-PBE.

The space group is F-43m (No. 216) and the conventional cell measures 7.081, 7.081 and 7.081 Å, with angles of 90.00, 90.00 and 90.00 degrees. Symmetry generates all atoms from Dy at (0.000, 0.000, 0.000), Zr at (0.250, 0.250, 0.250) and Pa at (0.000, 0.000, 0.500).

For the total DFT energy (no corrections), the calculation gives -80.15 eV for the cell shown. The calculation puts the total magnetization at 0.07 Bohr magnetons per cell.

---

[5]
This record from the Open Quantum Materials Database describes an optimized crystal structure of Dy5Pb4. The functional is GGA-PBE.

The space group is Pnma (No. 62) and the conventional cell measures 8.184, 15.586 and 8.254 Å, with angles of 90.00, 90.00 and 90.00 degrees. Symmetry generates all atoms from Dy at (0.035, 0.100, 0.176), Dy at (0.124, 0.621, 0.342), Dy at (0.209, 0.250, 0.503), Pb at (0.071, 0.250, 0.876), Pb at (0.154, 0.750, 0.652) and Pb at (0.218, 0.043, 0.534).

For the total DFT energy (no corrections), the calculation gives -170.68 eV for the cell shown. The calculation puts the total magnetization at 0.00 Bohr magnetons per cell.

---

[6]
This record from the Open Quantum Materials Database describes an optimized crystal structure of Dy2Pb. The functional is GGA-PBE.

The space group is Fd-3m (No. 227, origin choice 2) and the conventional cell measures 13.483, 13.483 and 13.483 Å, with angles of 90.00, 90.00 and 90.00 degrees. Symmetry generates all atoms from Dy at (0.000, 0.000, 0.000) and Pb at (0.125, 0.125, 0.125).

For the total DFT energy (no corrections), the calculation gives -70.45 eV for the cell shown. The calculation puts the total magnetization at 0.02 Bohr magnetons per cell.

---

[7]
This record from the Open Quantum Materials Database describes an optimized crystal structure of DyPb2. The functional is GGA-PBE.

The space group is Fd-3m (No. 227, origin choice 2) and the conventional cell measures 9.003, 9.003 and 9.003 Å, with angles of 90.00, 90.00 and 90.00 degrees. Symmetry generates all atoms from Dy at (0.125, 0.125, 0.125) and Pb at (0.000, 0.000, 0.500).

For the total DFT energy (no corrections), the calculation gives -96.92 eV for the cell shown. The calculation puts the total magnetization at 0.23 Bohr magnetons per cell.

---

[8]
This record from the Open Quantum Materials Database describes an optimized crystal structure of DyPb2. The functional is GGA-PBE.

The space group is Fd-3m (No. 227, origin choice 2) and the conventional cell measures 13.827, 13.827 and 13.827 Å, with angles of 90.00, 90.00 and 90.00 degrees. Symmetry generates all atoms from Dy at (0.125, 0.125, 0.125) and Pb at (0.000, 0.000, 0.000).

For the total DFT energy (no corrections), the calculation gives -67.18 eV for the cell shown. The calculation puts the total magnetization at 15.09 Bohr magnetons per cell.

---

[9]
This record from the Open Quantum Materials Database describes an optimized crystal structure of DyPdPb. The functional is GGA-PBE.

The space group is P-62m (No. 189) and the conventional cell measures 7.7790, 7.7790 and 3.9337 Å, with angles of 90.00, 90.00 and 120.00 degrees. Symmetry generates all atoms from Dy at (0.0000, 0.5972, 0.0000), Pd at (0.0000, 0.0000, 0.0000), Pd at (0.3333, 0.6667, 0.5000) and Pb at (0.0000, 0.2648, 0.5000).

For the total DFT energy (no corrections), the calculation gives -46.98 eV for the cell shown. The calculation puts the total magnetization at 0.01 Bohr magnetons per cell.

---

[10]
This record from the Open Quantum Materials Database describes an optimized crystal structure of DyPdPb. The functional is GGA-PBE.

The space group is P-62m (No. 189) and the conventional cell measures 7.3597, 7.3597 and 4.4524 Å, with angles of 90.00, 90.00 and 120.00 degrees. Symmetry generates all atoms from Dy at (0.0000, 0.5713, 0.0000), Pd at (0.0000, 0.2433, 0.5000), Pb at (0.0000, 0.0000, 0.0000) and Pb at (0.3333, 0.6667, 0.5000).

For the total DFT energy (no corrections), the calculation gives -45.85 eV for the cell shown. The calculation puts the total magnetization at 0.01 Bohr magnetons per cell.

---

[11]
This record from the Open Quantum Materials Database describes an optimized crystal structure of DyPdPb. The functional is GGA-PBE.

The space group is P-62m (No. 189) and the conventional cell measures 8.2570, 8.2570 and 3.5286 Å, with angles of 90.00, 90.00 and 120.00 degrees. Symmetry generates all atoms from Dy at (0.0000, 0.2952, 0.0000), Pd at (0.0000, 0.6379, 0.5000), Pb at (0.0000, 0.0000, 0.5000) and Pb at (0.3333, 0.6667, 0.0000).

For the total DFT energy (no corrections), the calculation gives -43.72 eV for the cell shown. The calculation puts the total magnetization at 0.16 Bohr magnetons per cell.

---

[12]
This record from the Open Quantum Materials Database describes an optimized crystal structure of Pr2DyPdPt2Pb3. The functional is GGA-PBE.

The space group is Amm2 (No. 38) and the conventional cell measures 4.106, 13.528 and 7.835 Å, with angles of 90.00, 90.00 and 90.00 degrees. Symmetry generates all atoms from Pr at (0.000, 0.205, 0.000), Dy at (0.000, 0.000, 0.616), Pd at (0.000, 0.000, 0.213), Pt at (0.500, 0.161, 0.703), Pb at (0.500, 0.000, 0.950) and Pb at (0.500, 0.128, 0.335).

For the total DFT energy (no corrections), the calculation gives -99.68 eV for the cell shown. The calculation puts the total magnetization at 0.00 Bohr magnetons per cell.

---

[13]
This record from the Open Quantum Materials Database describes an optimized crystal structure of Dy2PdPt3Pb2. The functional is GGA-PBE.

The space group is P3m1 (No. 156) and the conventional cell measures 4.6741, 4.6741 and 9.0388 Å, with angles of 90.00, 90.00 and 120.00 degrees. Symmetry generates all atoms from Dy at (0.0000, 0.0000, 0.0000), Dy at (0.3333, 0.6667, 0.5064), Pd at (0.3333, 0.6667, 0.1647), Pt at (0.0000, 0.0000, 0.3446), Pt at (0.0000, 0.0000, 0.6565), Pt at (0.3333, 0.6667, 0.8530), Pb at (0.6667, 0.3333, 0.2546) and Pb at (0.6667, 0.3333, 0.7551).

For the total DFT energy (no corrections), the calculation gives -46.07 eV for the cell shown. The calculation puts the total magnetization at 0.00 Bohr magnetons per cell.

---

[14]
This record from the Open Quantum Materials Database describes an optimized crystal structure of Dy2Pd3PtPb2. The functional is GGA-PBE.

The space group is P3m1 (No. 156) and the conventional cell measures 4.6714, 4.6714 and 8.9495 Å, with angles of 90.00, 90.00 and 120.00 degrees. Symmetry generates all atoms from Dy at (0.0000, 0.0000, 0.0000), Dy at (0.3333, 0.6667, 0.4939), Pd at (0.0000, 0.0000, 0.6600), Pd at (0.3333, 0.6667, 0.1531), Pd at (0.3333, 0.6667, 0.8364), Pt at (0.0000, 0.0000, 0.3427), Pb at (0.6667, 0.3333, 0.2469) and Pb at (0.6667, 0.3333, 0.7501).

For the total DFT energy (no corrections), the calculation gives -43.97 eV for the cell shown. The calculation puts the total magnetization at 0.00 Bohr magnetons per cell.

---

[15]
This record from the Open Quantum Materials Database describes an optimized crystal structure of TbDy2PdPt2Pb3. The functional is GGA-PBE.

The space group is Amm2 (No. 38) and the conventional cell measures 3.952, 13.474 and 7.773 Å, with angles of 90.00, 90.00 and 90.00 degrees. Symmetry generates all atoms from Tb at (0.000, 0.000, 0.000), Dy at (0.000, 0.203, 0.610), Pd at (0.000, 0.000, 0.407), Pt at (0.500, 0.167, 0.906), Pb at (0.500, 0.000, 0.668) and Pb at (0.500, 0.131, 0.276).

For the total DFT energy (no corrections), the calculation gives -99.25 eV for the cell shown. The calculation puts the total magnetization at 0.01 Bohr magnetons per cell.

---

[16]
This record from the Open Quantum Materials Database describes an optimized crystal structure of Tb2DyPdPt2Pb3. The functional is GGA-PBE.

The space group is Amm2 (No. 38) and the conventional cell measures 3.960, 13.469 and 7.782 Å, with angles of 90.00, 90.00 and 90.00 degrees. Symmetry generates all atoms from Tb at (0.000, 0.203, 0.000), Dy at (0.000, 0.000, 0.610), Pd at (0.000, 0.000, 0.204), Pt at (0.500, 0.166, 0.703), Pb at (0.500, 0.000, 0.942) and Pb at (0.500, 0.131, 0.334).

For the total DFT energy (no corrections), the calculation gives -99.33 eV for the cell shown. The calculation puts the total magnetization at 0.01 Bohr magnetons per cell.

---

[17]
This record from the Open Quantum Materials Database describes an optimized crystal structure of Dy2YPdPt2Pb3. The functional is GGA-PBE.

The space group is Amm2 (No. 38) and the conventional cell measures 3.898, 13.602 and 7.838 Å, with angles of 90.00, 90.00 and 90.00 degrees. Symmetry generates all atoms from Dy at (0.000, 0.203, 0.000), Y at (0.000, 0.000, 0.608), Pd at (0.000, 0.000, 0.202), Pt at (0.500, 0.168, 0.704), Pb at (0.500, 0.000, 0.939) and Pb at (0.500, 0.131, 0.335).

For the total DFT energy (no corrections), the calculation gives -102.96 eV for the cell shown. The calculation puts the total magnetization at 0.00 Bohr magnetons per cell.

---

[18]
This record from the Open Quantum Materials Database describes an optimized crystal structure of DyPdPbSe3. The functional is GGA-PBE.

The space group is Cmcm (No. 63) and the conventional cell measures 3.928, 14.232 and 10.586 Å, with angles of 90.00, 90.00 and 90.00 degrees. Symmetry generates all atoms from Dy at (0.000, 0.000, 0.000), Pd at (0.000, 0.469, 0.250), Pb at (0.000, 0.219, 0.750), Se at (0.000, 0.083, 0.250) and Se at (0.000, 0.357, 0.053).

For the total DFT energy (no corrections), the calculation gives -119.14 eV for the cell shown. The calculation puts the total magnetization at 0.01 Bohr magnetons per cell.

---

[19]
This record from the Open Quantum Materials Database describes an optimized crystal structure of TbDy2Pd3Pb3. The functional is GGA-PBE.

The space group is Amm2 (No. 38) and the conventional cell measures 3.877, 13.588 and 7.839 Å, with angles of 90.00, 90.00 and 90.00 degrees. Symmetry generates all atoms from Tb at (0.000, 0.000, 0.000), Dy at (0.000, 0.201, 0.398), Pd at (0.000, 0.000, 0.598), Pd at (0.500, 0.167, 0.099), Pb at (0.500, 0.000, 0.332) and Pb at (0.500, 0.133, 0.732).

For the total DFT energy (no corrections), the calculation gives -94.07 eV for the cell shown. The calculation puts the total magnetization at 0.00 Bohr magnetons per cell.

---

[20]
This record from the Open Quantum Materials Database describes an optimized crystal structure of DyTmPd2Pb. The functional is GGA-PBE.

The space group is Amm2 (No. 38) and the conventional cell measures 3.593, 4.233 and 14.919 Å, with angles of 90.00, 90.00 and 90.00 degrees. Symmetry generates all atoms from Dy at (0.000, 0.000, 0.000), Tm at (0.000, 0.000, 0.272), Pd at (0.500, 0.000, 0.442), Pd at (0.500, 0.000, 0.826) and Pb at (0.500, 0.000, 0.636).

For the total DFT energy (no corrections), the calculation gives -54.40 eV for the cell shown. The calculation puts the total magnetization at 0.02 Bohr magnetons per cell.

---

[21]
This record from the Open Quantum Materials Database describes an optimized crystal structure of Dy2YPd3Pb3. The functional is GGA-PBE.

The space group is Amm2 (No. 38) and the conventional cell measures 3.862, 13.592 and 7.832 Å, with angles of 90.00, 90.00 and 90.00 degrees. Symmetry generates all atoms from Dy at (0.000, 0.200, 0.000), Y at (0.000, 0.000, 0.400), Pd at (0.000, 0.000, 0.800), Pd at (0.500, 0.167, 0.299), Pb at (0.500, 0.000, 0.067) and Pb at (0.500, 0.133, 0.666).

For the total DFT energy (no corrections), the calculation gives -97.75 eV for the cell shown. The calculation puts the total magnetization at 0.01 Bohr magnetons per cell.

---

[22]
This record from the Open Quantum Materials Database describes an optimized crystal structure of DyYPd2Pb. The functional is GGA-PBE.

The space group is Amm2 (No. 38) and the conventional cell measures 3.603, 4.282 and 14.916 Å, with angles of 90.00, 90.00 and 90.00 degrees. Symmetry generates all atoms from Dy at (0.000, 0.000, 0.000), Y at (0.000, 0.000, 0.730), Pd at (0.500, 0.000, 0.171), Pd at (0.500, 0.000, 0.556) and Pb at (0.500, 0.000, 0.364).

For the total DFT energy (no corrections), the calculation gives -58.38 eV for the cell shown. The calculation puts the total magnetization at 0.02 Bohr magnetons per cell.

---

[23]
This record from the Open Quantum Materials Database describes an optimized crystal structure of PrDyPb2. The functional is GGA-PBE.

The space group is Amm2 (No. 38) and the conventional cell measures 4.493, 4.621 and 11.862 Å, with angles of 90.00, 90.00 and 90.00 degrees. Symmetry generates all atoms from Pr at (0.000, 0.000, 0.000), Dy at (0.500, 0.000, 0.738), Pb at (0.000, 0.000, 0.270) and Pb at (0.500, 0.000, 0.467).

For the total DFT energy (no corrections), the calculation gives -37.72 eV for the cell shown. The calculation puts the total magnetization at 0.01 Bohr magnetons per cell.

---

[24]
This record from the Open Quantum Materials Database describes an optimized crystal structure of DyTmPt4Pb2. The functional is GGA-PBE.

The space group is P-6m2 (No. 187) and the conventional cell measures 4.6402, 4.6402 and 9.0255 Å, with angles of 90.00, 90.00 and 120.00 degrees. Symmetry generates all atoms from Dy at (0.0000, 0.0000, 0.0000), Tm at (0.6667, 0.3333, 0.5000), Pt at (0.0000, 0.0000, 0.3464), Pt at (0.6667, 0.3333, 0.1556) and Pb at (0.3333, 0.6667, 0.2510).

For the total DFT energy (no corrections), the calculation gives -46.88 eV for the cell shown. The calculation puts the total magnetization at 0.01 Bohr magnetons per cell.